# 1
This record from Alexandria via LeMat-Bulk describes a geometry-optimized NaHo2Pb3S6 structure. The functional is PBE.

Geometry as CIF:
```
data_NaHo2Pb3S6
_chemical_formula_sum 'Na1 Ho2 Pb3 S6'
_cell_length_a 3.928
_cell_length_b 8.902
_cell_length_c 9.206
_cell_angle_alpha 105.21
_cell_angle_beta 102.32
_cell_angle_gamma 90.00
_symmetry_space_group_name_H-M 'P 1'
_symmetry_Int_Tables_number 1
_symmetry_space_group_name_Hall 'P 1'
loop_
_atom_site_label
_atom_site_fract_x
_atom_site_fract_y
_atom_site_fract_z
Na1 0.500 0.000 0.000
Ho1 0.836 0.667 0.671
Ho2 0.164 0.333 0.329
Pb1 0.500 0.500 0.000
Pb2 0.840 0.160 0.679
Pb3 0.160 0.840 0.321
S1 0.329 0.876 0.658
S2 0.673 0.553 0.346
S3 0.671 0.124 0.342
S4 0.010 0.255 0.019
S5 0.990 0.745 0.981
S6 0.327 0.447 0.654
```

Results
The value obtained for the volume is 302.9 Å³/cell. The calculation puts the total magnetization at 0.0 μB/f.u. Its symmetry is C2/m (12). For the uncorrected formation energy, the calculation gives -1.1645 eV/atom.

***

# 2
This record from Alexandria via LeMat-Bulk describes a geometry-optimized NaHoPb2Se4 structure. The functional is PBE.

Geometry as CIF:
```
data_NaHoPb2Se4
_chemical_formula_sum 'Na1 Ho1 Pb2 Se4'
_cell_length_a 4.257
_cell_length_b 7.367
_cell_length_c 7.434
_cell_angle_alpha 108.47
_cell_angle_beta 90.00
_cell_angle_gamma 90.00
_symmetry_space_group_name_H-M 'P 1'
_symmetry_Int_Tables_number 1
_symmetry_space_group_name_Hall 'P 1'
loop_
_atom_site_label
_atom_site_fract_x
_atom_site_fract_y
_atom_site_fract_z
Na1 0.500 0.500 0.000
Ho1 0.000 0.000 0.000
Pb1 0.500 0.000 0.500
Pb2 0.000 0.500 0.500
Se1 0.500 0.235 0.228
Se2 0.500 0.765 0.772
Se3 0.000 0.243 0.765
Se4 0.000 0.757 0.235
```

Results
The value obtained for the volume is 221.1 Å³/cell. The calculation puts the total magnetization at 0.0 μB/f.u. Its symmetry is P2/m (10). For the uncorrected formation energy, the calculation gives -1.0782 eV/atom.

***

# 3
This record from Alexandria via LeMat-Bulk describes a geometry-optimized NaHoSnPb structure. The functional is PBE.

Geometry as CIF:
```
data_NaHoSnPb
_chemical_formula_sum 'Na1 Ho1 Sn1 Pb1'
_cell_length_a 5.372
_cell_length_b 5.372
_cell_length_c 5.372
_cell_angle_alpha 60.00
_cell_angle_beta 60.00
_cell_angle_gamma 60.00
_symmetry_space_group_name_H-M 'P 1'
_symmetry_Int_Tables_number 1
_symmetry_space_group_name_Hall 'P 1'
loop_
_atom_site_label
_atom_site_fract_x
_atom_site_fract_y
_atom_site_fract_z
Pb1 0.750 0.750 0.750
Na1 0.500 0.500 0.500
Ho1 0.000 0.000 0.000
Sn1 0.250 0.250 0.250
```

Results
The value obtained for the volume is 109.6 Å³/cell. The calculation puts the total magnetization at 0.0 μB/f.u. As for the formation energy from the elements: -0.28 eV/atom. Its symmetry is F-43m (216).

***

# 4
This record from Alexandria via LeMat-Bulk describes a geometry-optimized NaHo2Te6Pb3 structure. The functional is PBE.

Geometry as CIF:
```
data_NaHo2Te6Pb3
_chemical_formula_sum 'Na1 Ho2 Te6 Pb3'
_cell_length_a 4.456
_cell_length_b 9.285
_cell_length_c 10.196
_cell_angle_alpha 104.01
_cell_angle_beta 102.62
_cell_angle_gamma 90.00
_symmetry_space_group_name_H-M 'P 1'
_symmetry_Int_Tables_number 1
_symmetry_space_group_name_Hall 'P 1'
loop_
_atom_site_label
_atom_site_fract_x
_atom_site_fract_y
_atom_site_fract_z
Na1 0.500 0.000 0.000
Ho1 0.833 0.656 0.666
Ho2 0.167 0.344 0.334
Te1 0.326 0.887 0.652
Te2 0.671 0.580 0.343
Te3 0.674 0.113 0.348
Te4 0.009 0.252 0.019
Te5 0.991 0.748 0.981
Te6 0.329 0.420 0.657
Pb1 0.500 0.500 0.000
Pb2 0.842 0.152 0.685
Pb3 0.158 0.848 0.315
```

Results
The value obtained for the volume is 398.8 Å³/cell. The calculation puts the total magnetization at 0.0 μB/f.u. Its symmetry is C2/m (12). For the uncorrected formation energy, the calculation gives -0.7898 eV/atom.

***

# 5
This record from Alexandria via LeMat-Bulk describes a geometry-optimized NaHoTlPb structure. The functional is PBE.

Geometry as CIF:
```
data_NaHoTlPb
_chemical_formula_sum 'Na1 Ho1 Tl1 Pb1'
_cell_length_a 3.794
_cell_length_b 3.794
_cell_length_c 7.709
_cell_angle_alpha 90.00
_cell_angle_beta 90.00
_cell_angle_gamma 90.00
_symmetry_space_group_name_H-M 'P 1'
_symmetry_Int_Tables_number 1
_symmetry_space_group_name_Hall 'P 1'
loop_
_atom_site_label
_atom_site_fract_x
_atom_site_fract_y
_atom_site_fract_z
Na1 0.000 0.000 0.853
Ho1 0.000 0.000 0.363
Tl1 0.500 0.500 0.605
Pb1 0.500 0.500 0.108
```

Results
The value obtained for the volume is 110.9 Å³/cell. The calculation puts the total magnetization at 0.0 μB/f.u. As for the formation energy from the elements: -0.25 eV/atom. Its symmetry is P4mm (99). For the energy above the most stable polymorph in this dataset, the calculation gives 0.000 eV per atom.

***

# 6
This record from Alexandria via LeMat-Bulk describes a geometry-optimized NaHoTlPb structure. The functional is PBE.

Geometry as CIF:
```
data_NaHoTlPb
_chemical_formula_sum 'Na1 Ho1 Tl1 Pb1'
_cell_length_a 5.383
_cell_length_b 5.383
_cell_length_c 5.383
_cell_angle_alpha 60.00
_cell_angle_beta 60.00
_cell_angle_gamma 60.00
_symmetry_space_group_name_H-M 'P 1'
_symmetry_Int_Tables_number 1
_symmetry_space_group_name_Hall 'P 1'
loop_
_atom_site_label
_atom_site_fract_x
_atom_site_fract_y
_atom_site_fract_z
Pb1 0.750 0.750 0.750
Na1 0.000 0.000 0.000
Tl1 0.250 0.250 0.250
Ho1 0.500 0.500 0.500
```

Results
The value obtained for the volume is 110.3 Å³/cell. The calculation puts the total magnetization at 0.0 μB/f.u. As for the formation energy from the elements: -0.23 eV/atom. Its symmetry is F-43m (216). For the energy above the most stable polymorph in this dataset, the calculation gives 0.020 eV per atom.

***

# 7
This record from Alexandria via LeMat-Bulk describes a geometry-optimized NaHoPd2 structure. The functional is PBE.

Geometry as CIF:
```
data_NaHoPd2
_chemical_formula_sum 'Na1 Ho1 Pd2'
_cell_length_a 4.826
_cell_length_b 4.826
_cell_length_c 4.826
_cell_angle_alpha 60.00
_cell_angle_beta 60.00
_cell_angle_gamma 60.00
_symmetry_space_group_name_H-M 'P 1'
_symmetry_Int_Tables_number 1
_symmetry_space_group_name_Hall 'P 1'
loop_
_atom_site_label
_atom_site_fract_x
_atom_site_fract_y
_atom_site_fract_z
Na1 0.500 0.500 0.500
Ho1 0.000 0.000 0.000
Pd1 0.250 0.250 0.250
Pd2 0.750 0.750 0.750
```

Results
The value obtained for the volume is 79.5 Å³/cell. The calculation puts the total magnetization at 0.0 μB/f.u. As for the formation energy from the elements: -0.52 eV/atom. Its symmetry is Fm-3m (225). For the energy above the most stable polymorph in this dataset, the calculation gives 0.033 eV per atom.

***

# 8
This record from Alexandria via LeMat-Bulk describes a geometry-optimized NaHoPd4 structure. The functional is PBE.

Geometry as CIF:
```
data_NaHoPd4
_chemical_formula_sum 'Na1 Ho1 Pd4'
_cell_length_a 5.389
_cell_length_b 5.389
_cell_length_c 5.389
_cell_angle_alpha 60.00
_cell_angle_beta 60.00
_cell_angle_gamma 60.00
_symmetry_space_group_name_H-M 'P 1'
_symmetry_Int_Tables_number 1
_symmetry_space_group_name_Hall 'P 1'
loop_
_atom_site_label
_atom_site_fract_x
_atom_site_fract_y
_atom_site_fract_z
Na1 0.250 0.250 0.250
Ho1 0.000 0.000 0.000
Pd1 0.625 0.625 0.125
Pd2 0.625 0.125 0.625
Pd3 0.625 0.625 0.625
Pd4 0.125 0.625 0.625
```

Results
The value obtained for the volume is 110.7 Å³/cell. The calculation puts the total magnetization at 0.0 μB/f.u. As for the formation energy from the elements: -0.55 eV/atom. Its symmetry is F-43m (216).

***

# 9
This record from Alexandria via LeMat-Bulk describes a geometry-optimized NaHoPd2 structure. The functional is PBE.

Geometry as CIF:
```
data_NaHoPd2
_chemical_formula_sum 'Na1 Ho1 Pd2'
_cell_length_a 3.430
_cell_length_b 3.430
_cell_length_c 7.178
_cell_angle_alpha 90.00
_cell_angle_beta 90.00
_cell_angle_gamma 90.00
_symmetry_space_group_name_H-M 'P 1'
_symmetry_Int_Tables_number 1
_symmetry_space_group_name_Hall 'P 1'
loop_
_atom_site_label
_atom_site_fract_x
_atom_site_fract_y
_atom_site_fract_z
Na1 0.500 0.500 0.500
Ho1 0.500 0.500 0.000
Pd1 0.000 0.000 0.775
Pd2 0.000 0.000 0.225
```

Results
The value obtained for the volume is 84.4 Å³/cell. The calculation puts the total magnetization at 0.0 μB/f.u. As for the formation energy from the elements: -0.56 eV/atom. Its symmetry is P4/mmm (123). For the energy above the most stable polymorph in this dataset, the calculation gives 0.000 eV per atom.

***

# 10
This record from Alexandria via LeMat-Bulk describes a geometry-optimized NaHoTlPd structure. The functional is PBE.

Geometry as CIF:
```
data_NaHoTlPd
_chemical_formula_sum 'Na1 Ho1 Tl1 Pd1'
_cell_length_a 5.062
_cell_length_b 5.062
_cell_length_c 5.062
_cell_angle_alpha 60.00
_cell_angle_beta 60.00
_cell_angle_gamma 60.00
_symmetry_space_group_name_H-M 'P 1'
_symmetry_Int_Tables_number 1
_symmetry_space_group_name_Hall 'P 1'
loop_
_atom_site_label
_atom_site_fract_x
_atom_site_fract_y
_atom_site_fract_z
Na1 0.000 0.000 0.000
Tl1 0.250 0.250 0.250
Ho1 0.500 0.500 0.500
Pd1 0.750 0.750 0.750
```

Results
The value obtained for the volume is 91.7 Å³/cell. The calculation puts the total magnetization at 0.0 μB/f.u. As for the formation energy from the elements: -0.28 eV/atom. Its symmetry is F-43m (216).

***

Please write out number 10 again, unchanged.
This record from Alexandria via LeMat-Bulk describes a geometry-optimized NaHoTlPd structure. The functional is PBE.

Geometry as CIF:
```
data_NaHoTlPd
_chemical_formula_sum 'Na1 Ho1 Tl1 Pd1'
_cell_length_a 5.062
_cell_length_b 5.062
_cell_length_c 5.062
_cell_angle_alpha 60.00
_cell_angle_beta 60.00
_cell_angle_gamma 60.00
_symmetry_space_group_name_H-M 'P 1'
_symmetry_Int_Tables_number 1
_symmetry_space_group_name_Hall 'P 1'
loop_
_atom_site_label
_atom_site_fract_x
_atom_site_fract_y
_atom_site_fract_z
Na1 0.000 0.000 0.000
Tl1 0.250 0.250 0.250
Ho1 0.500 0.500 0.500
Pd1 0.750 0.750 0.750
```

Results
The value obtained for the volume is 91.7 Å³/cell. The calculation puts the total magnetization at 0.0 μB/f.u. As for the formation energy from the elements: -0.28 eV/atom. Its symmetry is F-43m (216).